Record 1
Density functional theory data (PBE-GGA) for a geometry-optimized CePmAsPt structure.

a b c (Å): 5.1230 5.1230 5.1230
angles (deg): 60.00 60.00 60.00
Last column: nearest neighbours and their distance in Å.
Positions (direct):
Ce 0.0000 0.0000 0.0000  4 As 3.14, 4 Pt 3.14
Pm 0.5000 0.5000 0.5000  4 As 3.14, 4 Pt 3.14
As 0.2500 0.2500 0.2500  4 Ce 3.14, 4 Pm 3.14
Pt 0.7500 0.7500 0.7500  4 Ce 3.14, 4 Pm 3.14

Output
The calculation puts the mass density at 9.70 g/cm³. Its space-group type is No. 216. The formation energy comes out at -0.97 eV per atom.

***

Record 2
Density functional theory data (PBE-GGA) for a geometry-optimized Ce2Pm3PuAs6 structure.

a b c (Å): 9.4255 9.4255 8.4239
angles (deg): 102.98 102.98 25.85
Last column: nearest neighbours and their distance in Å.
Positions (direct):
Ce 0.1658 0.1658 0.3318  6 As 2.95-2.97
Ce 0.8342 0.8342 0.6682  6 As 2.95-2.97
Pm 0.1667 0.1667 0.8338  6 As 2.99-3.01
Pm 0.5000 0.5000 0.5000  6 As 3.00-3.01
Pm 0.8333 0.8333 0.1662  6 As 2.99-3.01
Pu 0.5000 0.5000 0.0000  6 As 2.95
As 0.0007 0.0007 0.2448  2 Pu 2.95, 1 Ce 2.95, 3 Pm 2.99-3.01
As 0.3320 0.3320 0.4192  3 Ce 2.97, 3 Pm 3.00
As 0.3348 0.3348 0.9145  1 Pu 2.95, 2 Ce 2.96, 3 Pm 2.99-3.01
As 0.6652 0.6652 0.0855  1 Pu 2.95, 2 Ce 2.96, 3 Pm 2.99-3.01
As 0.6680 0.6680 0.5808  3 Ce 2.97, 3 Pm 3.00
As 0.9993 0.9993 0.7552  2 Pu 2.95, 1 Ce 2.95, 3 Pm 2.99-3.01

Output
The calculation puts the mass density at 7.37 g/cm³. Its space-group type is No. 12. The formation energy comes out at -1.41 eV per atom.

***

Record 3
Density functional theory data (PBE-GGA) for a geometry-optimized Ce3PmPu2As6 structure.

a b c (Å): 7.2761 7.2761 7.2535
angles (deg): 99.63 99.63 120.00
Last column: nearest neighbours and their distance in Å.
Positions (direct):
Ce 0.0000 0.0000 0.0000  6 As 2.95-2.98
Ce 0.3344 0.6656 0.0000  6 As 2.96-2.99
Ce 0.6656 0.3344 0.0000  6 As 2.96-2.99
Pm 0.5000 0.5000 0.5000  6 As 2.99
Pu 0.1669 0.8331 0.5000  6 As 2.95
Pu 0.8331 0.1669 0.5000  6 As 2.95
As 0.0793 0.4170 0.2512  2 Pu 2.95, 3 Ce 2.96-2.99, 1 Pm 2.99
As 0.2450 0.2450 0.7484  3 Ce 2.95-2.98, 2 Pu 2.95, 1 Pm 2.99
As 0.4170 0.0793 0.2512  2 Pu 2.95, 3 Ce 2.96-2.99, 1 Pm 2.99
As 0.5830 0.9207 0.7488  2 Pu 2.95, 3 Ce 2.96-2.99, 1 Pm 2.99
As 0.7550 0.7550 0.2516  3 Ce 2.95-2.98, 2 Pu 2.95, 1 Pm 2.99
As 0.9207 0.5830 0.7488  2 Pu 2.95, 3 Ce 2.96-2.99, 1 Pm 2.99

Output
The calculation puts the mass density at 7.96 g/cm³. Its space-group type is No. 12. The formation energy comes out at -1.31 eV per atom.

***

Record 4
Density functional theory data (PBE-GGA) for a geometry-optimized CePm2PuAs4 structure.

a b c (Å): 7.2829 4.2084 7.2945
angles (deg): 90.00 109.52 90.00
Last column: nearest neighbours and their distance in Å.
Positions (direct):
Ce 0.0000 0.0000 0.0000  6 As 2.96
Pm 0.0000 0.5000 0.5000  6 As 3.00-3.01
Pm 0.5000 0.0000 0.5000  6 As 2.99-3.00
Pu 0.5000 0.5000 0.0000  6 As 2.94-2.95
As 0.2490 0.5000 0.2444  1 Pu 2.95, 2 Ce 2.96, 3 Pm 2.99-3.00
As 0.2542 0.0000 0.7574  2 Pu 2.94, 1 Ce 2.96, 3 Pm 3.00-3.01
As 0.7458 0.0000 0.2426  2 Pu 2.94, 1 Ce 2.96, 3 Pm 3.00-3.01
As 0.7510 0.5000 0.7556  1 Pu 2.95, 2 Ce 2.96, 3 Pm 2.99-3.00

Output
The calculation puts the mass density at 7.67 g/cm³. Its space-group type is No. 10. The formation energy comes out at -1.38 eV per atom.

***

Record 5
Density functional theory data (PBE-GGA) for a geometry-optimized Ce2PmPuAs4 structure.

a b c (Å): 8.4089 8.4089 8.4089
angles (deg): 120.10 119.93 89.98
Last column: nearest neighbours and their distance in Å.
Positions (direct):
Ce 0.0000 0.0000 0.0000  6 As 2.98-2.99
Ce 0.5000 0.0000 0.0000  6 As 2.96
Ce 0.5000 0.0000 0.5000  6 As 2.98-2.99
Ce 0.5000 0.5000 0.5000  6 As 2.96
Pm 0.0000 0.0000 0.5000  6 As 2.99
Pm 0.0000 0.5000 0.0000  6 As 2.99
Pu 0.0000 0.5000 0.5000  6 As 2.96
Pu 0.5000 0.5000 0.0000  6 As 2.96
As 0.2512 0.2537 0.5026  2 Pu 2.96, 3 Ce 2.96-2.99, 1 Pm 2.99
As 0.2512 0.7486 0.9974  2 Pu 2.96, 3 Ce 2.96-2.99, 1 Pm 2.99
As 0.2522 0.7492 0.5029  3 Ce 2.96-2.98, 1 Pu 2.96, 2 Pm 2.99
As 0.2537 0.2508 0.0029  3 Ce 2.96-2.98, 1 Pu 2.96, 2 Pm 2.99
As 0.7463 0.7492 0.9971  3 Ce 2.96-2.98, 1 Pu 2.96, 2 Pm 2.99
As 0.7478 0.2508 0.4971  3 Ce 2.96-2.98, 1 Pu 2.96, 2 Pm 2.99
As 0.7488 0.2514 0.0026  2 Pu 2.96, 3 Ce 2.96-2.99, 1 Pm 2.99
As 0.7488 0.7463 0.4974  2 Pu 2.96, 3 Ce 2.96-2.99, 1 Pm 2.99

Output
The calculation puts the mass density at 7.66 g/cm³. Its space-group type is No. 74. The formation energy comes out at -1.35 eV per atom.

***

Record 6
Density functional theory data (PBE-GGA) for a geometry-optimized Ce3Pm2PuAs6 structure.

a b c (Å): 7.2981 7.2981 7.2912
angles (deg): 99.60 99.60 119.99
Last column: nearest neighbours and their distance in Å.
Positions (direct):
Ce 0.0000 0.0000 0.0000  6 As 2.96-3.00
Ce 0.3325 0.6675 0.0000  6 As 2.96-2.99
Ce 0.6675 0.3325 0.0000  6 As 2.96-2.99
Pm 0.1664 0.8336 0.5000  6 As 3.00
Pm 0.8336 0.1664 0.5000  6 As 3.00
Pu 0.5000 0.5000 0.5000  6 As 2.96
As 0.0867 0.4163 0.2483  3 Ce 2.96-2.99, 1 Pu 2.96, 2 Pm 3.00
As 0.2547 0.2547 0.7518  1 Pu 2.96, 3 Ce 2.97-3.00, 2 Pm 3.00
As 0.4163 0.0867 0.2483  3 Ce 2.96-2.99, 1 Pu 2.96, 2 Pm 3.00
As 0.5837 0.9133 0.7517  3 Ce 2.96-2.99, 1 Pu 2.96, 2 Pm 3.00
As 0.7453 0.7453 0.2482  1 Pu 2.96, 3 Ce 2.97-3.00, 2 Pm 3.00
As 0.9133 0.5837 0.7517  3 Ce 2.96-2.99, 1 Pu 2.96, 2 Pm 3.00

Output
The calculation puts the mass density at 7.35 g/cm³. Its space-group type is No. 12. The formation energy comes out at -1.39 eV per atom.

***

Record 7
Density functional theory data (PBE-GGA) for a geometry-optimized CePmAs2Rh2 structure.

a b c (Å): 4.2640 4.2640 7.8710
angles (deg): 90.00 90.00 120.00
Last column: nearest neighbours and their distance in Å.
Positions (direct):
Ce 0.0000 0.0000 0.0000  6 Rh 3.06, 6 As 3.20
Pm 0.0000 0.0000 0.5000  6 As 3.10, 6 Rh 3.25
As 0.3333 0.6667 0.7402  3 Rh 2.47
As 0.6667 0.3333 0.2598  3 Rh 2.47
Rh 0.3333 0.6667 0.2300  3 As 2.47
Rh 0.6667 0.3333 0.7700  3 As 2.47

Output
The calculation puts the mass density at 8.59 g/cm³. Its space-group type is No. 164. The formation energy comes out at -1.11 eV per atom.

***

Record 8
Density functional theory data (PBE-GGA) for a geometry-optimized Ce2PmAs3Rh4 structure.

a b c (Å): 4.1356 4.1356 11.5593
angles (deg): 90.00 90.00 90.00
Last column: nearest neighbours and their distance in Å.
Positions (direct):
Ce 0.0000 0.5000 0.2238  4 As 3.14, 8 Rh 3.19-3.31
Ce 0.5000 0.0000 0.7762  4 As 3.14, 8 Rh 3.19-3.31
Pm 0.0000 0.0000 0.5000  4 Rh 2.82, 4 As 2.92
As 0.0000 0.5000 0.8752  5 Rh 2.42-2.52
As 0.5000 0.0000 0.1248  5 Rh 2.42-2.52
As 0.5000 0.5000 0.5000  4 Rh 2.82, 4 Pm 2.92
Rh 0.0000 0.0000 0.0000  4 As 2.52
Rh 0.0000 0.5000 0.6660  1 As 2.42
Rh 0.5000 0.0000 0.3340  1 As 2.42
Rh 0.5000 0.5000 0.0000  4 As 2.52

Output
The calculation puts the mass density at 8.92 g/cm³. Its space-group type is No. 115. The formation energy comes out at -0.91 eV per atom.